{"formula": "Ac8GeN6", "functional": "PBE", "state": "relaxed", "cell": [[5.282, 3.050, 4.122], [-5.282, 3.050, 4.122], [0.000, -6.099, 4.122]], "species": ["Ac", "Ac", "Ac", "Ac", "Ac", "Ac", "Ac", "Ac", "Ge", "N", "N", "N", "N", "N", "N"], "frac_coords": [[0.112, 0.782, 0.356], [0.218, 0.644, 0.888], [0.226, 0.226, 0.226], [0.356, 0.112, 0.782], [0.644, 0.888, 0.218], [0.774, 0.774, 0.774], [0.782, 0.356, 0.112], [0.888, 0.218, 0.644], [0.500, 0.500, 0.500], [0.077, 0.887, 0.678], [0.113, 0.322, 0.923], [0.322, 0.923, 0.113], [0.678, 0.077, 0.887], [0.887, 0.678, 0.077], [0.923, 0.113, 0.322]], "dos_at_fermi_per_ev_cell": 5.871, "formation_energy_uncorrected_ev_per_atom": -0.841, "total_energy_ev_per_atom": -6.670, "magmom_total_mub_per_atom": 0.11}